PBE-GGA K2BaY, optimized geometry; SG = No. 216; crystal system = cubic; ΔE to the lowest computed polymorph = 0.907 eV/f.u.; energy of formation = 0.490 eV/atom
1.0
0.000 4.784 4.784
4.784 0.000 4.784
4.784 4.784 0.000
K Ba Y
2 1 1
Cartesian
0.000 0.000 0.000
2.392 2.392 2.392
4.784 4.784 4.784
7.176 7.176 7.176

***

PBE-GGA LaPr3Ho3, optimized geometry; SG = No. 176; crystal system = hexagonal; ΔE to the lowest computed polymorph = 0.000 eV/f.u.; energy of formation = 0.031 eV/atom
1.0
9.754 0.000 0.000
-4.877 8.447 0.000
0.000 0.000 5.856
La Pr Ho
2 6 6
Cartesian
0.000 5.631 1.464
4.877 2.816 4.392
-2.102 5.251 4.392
1.381 4.001 4.392
4.155 0.805 1.464
0.722 7.642 4.392
3.496 4.446 1.464
6.979 3.196 1.464
-3.533 6.882 1.464
0.684 1.946 1.464
2.027 0.381 4.392
2.850 8.066 1.464
4.193 6.501 4.392
8.410 1.565 4.392

***

PBE-GGA K3TeH, optimized geometry; SG = No. 167; crystal system = trigonal; ΔE to the lowest computed polymorph = 0.551 eV/f.u.
1.0
4.088 2.360 7.870
-4.088 2.360 7.870
0.000 -4.721 7.870
K Te H
6 2 2
Cartesian
-2.805 -0.137 9.837
-1.284 -2.497 13.772
1.521 -2.360 9.837
-1.521 2.360 13.772
1.284 2.497 9.837
2.805 0.137 13.772
0.000 0.000 0.000
0.000 0.000 11.805
0.000 0.000 5.902
0.000 0.000 17.707

***

PBE-GGA Er3Al2Cd4, optimized geometry; SG = No. 12; crystal system = monoclinic; energy of formation = -0.340 eV/atom
1.0
5.426 -2.401 0.000
5.426 2.401 0.000
-4.207 0.000 7.957
Er Al Cd
3 2 4
Cartesian
0.000 0.000 0.000
2.241 0.000 2.630
4.405 0.000 5.327
1.204 0.000 5.764
5.442 0.000 2.193
-0.881 0.000 3.222
-0.805 0.000 7.637
7.451 0.000 0.319
7.527 0.000 4.735

***

PBE-GGA AsRuC3, optimized geometry; SG = No. 221; crystal system = cubic; ΔE to the lowest computed polymorph = 0.000 eV/f.u.; energy of formation = 2.238 eV/atom
1.0
4.013 0.000 0.000
0.000 4.013 0.000
0.000 0.000 4.013
As Ru C
1 1 3
Cartesian
0.000 0.000 0.000
2.007 2.007 2.007
0.000 2.007 2.007
2.007 0.000 2.007
2.007 2.007 0.000

***

PBE-GGA TmTlHg3, optimized geometry; SG = No. 63; crystal system = orthorhombic; energy of formation = -0.023 eV/atom
1.0
3.187 -8.667 0.000
3.187 8.667 0.000
0.000 0.000 5.324
Tm Tl Hg
2 2 6
Cartesian
3.187 5.135 3.993
3.187 -5.135 1.331
3.187 3.051 1.331
3.187 -3.051 3.993
1.465 2.433 3.993
1.465 -2.433 1.331
3.187 0.000 0.000
3.187 0.000 2.662
4.908 2.433 3.993
4.908 -2.433 1.331

***

Question: What is the formula in the fifth record?
Answer: AsRuC3

***

Copy entry 4 word for word.
PBE-GGA Er3Al2Cd4, optimized geometry; SG = No. 12; crystal system = monoclinic; energy of formation = -0.340 eV/atom
1.0
5.426 -2.401 0.000
5.426 2.401 0.000
-4.207 0.000 7.957
Er Al Cd
3 2 4
Cartesian
0.000 0.000 0.000
2.241 0.000 2.630
4.405 0.000 5.327
1.204 0.000 5.764
5.442 0.000 2.193
-0.881 0.000 3.222
-0.805 0.000 7.637
7.451 0.000 0.319
7.527 0.000 4.735